Record 1
TmScRu: optimized geometry, PBE.

Results
E_tot = -7.157 eV per atom
DFT formation energy = -0.4645 eV per atom
Energy above the lowest structure with this stoichiometry = 0.000 eV/atom
Symmetry = P-62m, No. 189

Lattice parameters (Å, degrees): 7.2837 8.3680 8.3680 58.96 64.20 64.20
Fractional coordinates of all 18 atoms:
Tm1 0.1672 0.0430 0.5430
Tm2 0.7533 0.9570 0.4570
Tm3 0.3394 0.7500 0.2500
Tm4 0.3394 0.2500 0.7500
Tm5 0.7533 0.4570 0.9570
Tm6 0.1672 0.5430 0.0430
Sc1 0.0057 0.0000 0.0000
Sc2 0.0057 0.5000 0.5000
Sc3 0.7533 0.3740 0.3739
Sc4 0.5011 0.6260 0.6261
Sc5 0.5011 0.1261 0.1260
Sc6 0.7533 0.8739 0.8740
Ru1 0.7534 0.2500 0.7500
Ru2 0.7535 0.7500 0.2500
Ru3 0.0864 0.1667 0.1668
Ru4 0.4200 0.8333 0.8332
Ru5 0.4200 0.3332 0.3333
Ru6 0.0864 0.6668 0.6667

***

Record 2
AlNi2Au: optimized geometry, PBE.

Results
E_tot = -4.980 eV per atom
DFT formation energy = -0.3343 eV per atom
Symmetry = Pmma, No. 51

Lattice parameters (Å, degrees): 2.8508 6.0523 6.1441 90.00 90.00 90.00
Fractional coordinates of all 8 atoms:
Al1 0.0000 0.2500 0.0316
Al2 0.0000 0.7500 0.9684
Ni1 0.5000 0.9663 0.2172
Ni2 0.5000 0.0337 0.7828
Ni3 0.5000 0.4663 0.7828
Ni4 0.5000 0.5337 0.2172
Au1 0.0000 0.2500 0.4744
Au2 0.0000 0.7500 0.5256

***

Record 3
U2GeMo: optimized geometry, PBE.

Results
E_tot = -9.602 eV per atom
DFT formation energy = -0.0955 eV per atom
Energy above the lowest structure with this stoichiometry = 0.000 eV/atom
Symmetry = P4/mmm, No. 123

Lattice parameters (Å, degrees): 4.4001 4.0927 4.0927 90.00 90.00 90.00
Fractional coordinates of all 4 atoms:
Mo1 0.5000 0.0000 0.0000
U1 0.0000 0.0000 0.5000
U2 0.0000 0.5000 0.0000
Ge1 0.5000 0.5000 0.5000

***

Record 4
Cd2CuCl: optimized geometry, PBE.

Results
E_tot = -1.971 eV per atom
Energy above the lowest structure with this stoichiometry = 0.160 eV/atom
Symmetry = I-42d, No. 122
ΔE_f (raw) = -28 meV/atom

Lattice parameters (Å, degrees): 7.3303 7.3303 6.2509 54.10 54.10 90.00
Fractional coordinates of all 8 atoms:
Cl1 0.5000 0.5000 0.0000
Cl2 0.2500 0.7500 0.5000
Cu1 0.0000 0.0000 0.0000
Cu2 0.7500 0.2500 0.5000
Cd1 0.6487 0.1250 0.2500
Cd2 0.1013 0.6250 0.2500
Cd3 0.3750 0.3513 0.7500
Cd4 0.8750 0.8987 0.7500

***

Record 5
Y2ScCuC: optimized geometry, PBE.

Results
E_tot = -5.881 eV per atom
DFT formation energy = 0.6349 eV per atom
Energy above the lowest structure with this stoichiometry = 0.813 eV/atom
Symmetry = P4/mmm, No. 123

Lattice parameters (Å, degrees): 5.6113 3.5909 5.6113 90.00 90.00 90.00
Fractional coordinates of all 5 atoms:
Y1 0.0000 0.0000 0.5000
Y2 0.5000 0.0000 0.0000
Sc1 0.5000 0.5000 0.5000
C1 0.0000 0.5000 0.0000
Cu1 0.0000 0.0000 0.0000

***

Record 6
Ho2ScGa2Rh5: optimized geometry, PBE.

Results
E_tot = -6.687 eV per atom
DFT formation energy = -0.8570 eV per atom
Symmetry = P4/mbm, No. 127

Lattice parameters (Å, degrees): 3.5041 9.9576 9.9576 90.00 90.00 90.00
Fractional coordinates of all 20 atoms:
Ho1 0.0000 0.6728 0.1728
Ho2 0.0000 0.3272 0.8272
Ho3 0.0000 0.1728 0.3272
Ho4 0.0000 0.8272 0.6728
Sc1 0.0000 0.0000 0.0000
Sc2 0.0000 0.5000 0.5000
Ga1 0.0000 0.1248 0.6248
Ga2 0.0000 0.8752 0.3752
Ga3 0.0000 0.6248 0.8752
Ga4 0.0000 0.3752 0.1248
Rh1 0.5000 0.2063 0.0689
Rh2 0.5000 0.7937 0.9311
Rh3 0.5000 0.0689 0.7937
Rh4 0.5000 0.7063 0.4311
Rh5 0.5000 0.9311 0.2063
Rh6 0.5000 0.2937 0.5689
Rh7 0.5000 0.5689 0.7063
Rh8 0.5000 0.4311 0.2937
Rh9 0.5000 0.5000 0.0000
Rh10 0.5000 0.0000 0.5000

***

Record 7
Pm2DyTm4: optimized geometry, PBE.

Results
E_tot = -4.316 eV per atom
DFT formation energy = 0.2535 eV per atom
Energy above the lowest structure with this stoichiometry = 0.183 eV/atom
Symmetry = I4/mmm, No. 139

Lattice parameters (Å, degrees): 6.7563 6.7563 6.7563 122.90 103.21 103.20
Fractional coordinates of all 7 atoms:
Pm1 0.5000 0.2500 0.7500
Pm2 0.5000 0.7500 0.2500
Dy1 0.0000 0.0000 0.0000
Tm1 0.0000 0.3033 0.6967
Tm2 0.0000 0.6967 0.3033
Tm3 0.6066 0.3033 0.3033
Tm4 0.3934 0.6967 0.6967

***

Record 8
CoCuH: optimized geometry, PBE.

Results
E_tot = -4.602 eV per atom
Energy above the lowest structure with this stoichiometry = 0.184 eV/atom
Symmetry = I4mm, No. 107

Lattice parameters (Å, degrees): 2.4665 2.4665 4.7533 105.04 105.04 90.00
Fractional coordinates of all 3 atoms:
H1 0.2633 0.2633 0.5266
Co1 0.7275 0.7275 0.4550
Cu1 0.0092 0.0092 0.0184

***

Record 9
GaSn3Pd3: optimized geometry, PBE.

Results
E_tot = -4.733 eV per atom
DFT formation energy = -0.3593 eV per atom
Symmetry = C2/m, No. 12

Lattice parameters (Å, degrees): 5.9230 5.9230 8.4861 89.45 89.45 113.17
Fractional coordinates of all 14 atoms:
Ga1 0.6989 0.6989 0.9519
Ga2 0.3011 0.3011 0.0481
Sn1 0.5477 0.5477 0.3251
Sn2 0.1612 0.8388 0.5000
Sn3 0.8388 0.1612 0.5000
Sn4 0.2166 0.7834 0.0000
Sn5 0.7834 0.2166 0.0000
Sn6 0.4523 0.4523 0.6749
Pd1 0.9406 0.9406 0.2158
Pd2 0.9418 0.5107 0.7397
Pd3 0.5107 0.9418 0.7397
Pd4 0.0582 0.4893 0.2603
Pd5 0.4893 0.0582 0.2603
Pd6 0.0594 0.0594 0.7842

***

Record 10
SrTa4Hg: optimized geometry, PBE.

Results
E_tot = -7.590 eV per atom
DFT formation energy = 0.6420 eV per atom
Symmetry = F-43m, No. 216

Lattice parameters (Å, degrees): 5.7234 5.7234 5.7234 60.00 60.00 60.00
Fractional coordinates of all 6 atoms:
Sr1 0.0000 0.0000 0.0000
Ta1 0.8844 0.3719 0.3719
Ta2 0.3719 0.3719 0.8844
Ta3 0.3719 0.8844 0.3719
Ta4 0.3719 0.3719 0.3719
Hg1 0.7500 0.7500 0.7500

***

Record 11
AlW2Se: optimized geometry, PBE.

Results
E_tot = -7.765 eV per atom
Energy above the lowest structure with this stoichiometry = 0.396 eV/atom
Symmetry = P2/m, No. 10
ΔE_f (raw) = 518 meV/atom

Lattice parameters (Å, degrees): 4.3993 2.8391 5.3407 88.39 90.00 90.00
Fractional coordinates of all 4 atoms:
Se1 0.5000 0.7500 0.7500
W1 0.0000 0.8818 0.0190
W2 0.0000 0.6182 0.4810
Al1 0.5000 0.2500 0.2500

***

Record 12
Si2PtI: optimized geometry, PBE.

Results
E_tot = -4.548 eV per atom
Energy above the lowest structure with this stoichiometry = 0.000 eV/atom
Symmetry = I-42d, No. 122
ΔE_f (raw) = 61 meV/atom

Lattice parameters (Å, degrees): 5.9855 5.9855 7.4433 66.29 66.29 90.00
Fractional coordinates of all 8 atoms:
I1 0.5000 0.5000 0.0000
I2 0.2500 0.7500 0.5000
Si1 0.7342 0.1250 0.2500
Si2 0.0158 0.6250 0.2500
Si3 0.3750 0.2658 0.7500
Si4 0.8750 0.9842 0.7500
Pt1 0.0000 0.0000 0.0000
Pt2 0.7500 0.2500 0.5000

***

Among the records above, which one has the lowest E_tot? U2GeMo